[1]
{"formula": "BaBiRuO", "functional": "PBE", "state": "relaxed", "lattice_angstrom": [[3.642, 0.000, 0.000], [0.000, 3.875, 0.000], [-0.031, 0.000, 6.590]], "species": ["Ba", "Bi", "Ru", "O"], "fractional_positions": [[0.000, 0.000, 0.000], [0.504, 0.500, 0.432], [0.005, 0.000, 0.524], [0.501, 0.500, 0.092]], "formation_energy_uncorrected_ev_per_atom": -0.736, "volume_a3_per_cell": 93.0, "e_above_lowest_polymorph_ev_per_atom": 0.137, "density_g_cm3": 8.272}

=====

[2]
{"formula": "Ba2BiRu3O12", "functional": "PBE", "state": "relaxed", "lattice_angstrom": [[3.619, 2.090, 6.008], [-3.619, 2.090, 6.008], [0.000, -4.179, 6.008]], "species": ["Ba", "Ba", "Bi", "Ru", "Ru", "Ru", "O", "O", "O", "O", "O", "O", "O", "O", "O", "O", "O", "O"], "fractional_positions": [[0.131, 0.131, 0.131], [0.869, 0.869, 0.869], [0.500, 0.500, 0.500], [0.000, 0.500, 0.500], [0.500, 0.000, 0.500], [0.500, 0.500, 0.000], [0.121, 0.606, 0.606], [0.203, 0.203, 0.585], [0.203, 0.585, 0.203], [0.394, 0.394, 0.879], [0.394, 0.879, 0.394], [0.415, 0.797, 0.797], [0.585, 0.203, 0.203], [0.606, 0.121, 0.606], [0.606, 0.606, 0.121], [0.797, 0.415, 0.797], [0.797, 0.797, 0.415], [0.879, 0.394, 0.394]], "formation_energy_uncorrected_ev_per_atom": -1.323, "volume_a3_per_cell": 272.6, "density_g_cm3": 5.962}

=====

[3]
{"formula": "Ba3BiRu2O9", "functional": "PBE", "state": "relaxed", "lattice_angstrom": [[3.016, -5.204, 0.000], [3.016, 5.204, 0.000], [-0.521, 0.000, 14.846]], "species": ["Ba", "Ba", "Ba", "Ba", "Ba", "Ba", "Bi", "Bi", "Ru", "Ru", "Ru", "Ru", "O", "O", "O", "O", "O", "O", "O", "O", "O", "O", "O", "O", "O", "O", "O", "O", "O", "O"], "fractional_positions": [[0.005, 0.995, 0.750], [0.328, 0.660, 0.405], [0.340, 0.672, 0.095], [0.660, 0.328, 0.905], [0.672, 0.340, 0.595], [0.995, 0.005, 0.250], [0.000, 0.000, 0.000], [0.000, 0.000, 0.500], [0.319, 0.651, 0.834], [0.349, 0.681, 0.666], [0.651, 0.319, 0.334], [0.681, 0.349, 0.166], [0.028, 0.506, 0.738], [0.132, 0.787, 0.904], [0.137, 0.323, 0.898], [0.213, 0.868, 0.596], [0.216, 0.402, 0.573], [0.323, 0.137, 0.398], [0.402, 0.216, 0.073], [0.491, 0.509, 0.750], [0.494, 0.972, 0.762], [0.506, 0.028, 0.238], [0.509, 0.491, 0.250], [0.598, 0.784, 0.927], [0.677, 0.863, 0.602], [0.784, 0.598, 0.427], [0.787, 0.132, 0.404], [0.863, 0.677, 0.102], [0.868, 0.213, 0.096], [0.972, 0.494, 0.262]], "formation_energy_uncorrected_ev_per_atom": -1.780, "volume_a3_per_cell": 466.1, "e_above_lowest_polymorph_ev_per_atom": 0.000, "density_g_cm3": 6.891}

=====

[4]
{"formula": "BaBiRuO", "functional": "PBE", "state": "relaxed", "lattice_angstrom": [[3.328, 0.000, 0.000], [0.000, 3.779, 0.000], [0.000, 0.000, 13.788]], "species": ["Ba", "Ba", "Bi", "Bi", "Ru", "Ru", "O", "O"], "fractional_positions": [[0.000, 0.000, 0.000], [0.000, 0.500, 0.500], [0.500, 0.000, 0.287], [0.500, 0.500, 0.787], [0.000, 0.000, 0.683], [0.000, 0.500, 0.183], [0.500, 0.000, 0.583], [0.500, 0.500, 0.083]], "formation_energy_uncorrected_ev_per_atom": -0.671, "volume_a3_per_cell": 173.4, "e_above_lowest_polymorph_ev_per_atom": 0.201, "density_g_cm3": 8.875}

=====

[5]
{"formula": "Ba5Bi2SO", "functional": "PBE", "state": "relaxed", "lattice_angstrom": [[5.261, 0.000, 0.000], [0.000, 5.261, 0.000], [0.000, 0.000, 12.556]], "species": ["Ba", "Ba", "Ba", "Ba", "Ba", "Bi", "Bi", "S", "O"], "fractional_positions": [[0.000, 0.000, 0.000], [0.000, 0.500, 0.500], [0.500, 0.000, 0.500], [0.500, 0.500, 0.242], [0.500, 0.500, 0.758], [0.000, 0.000, 0.288], [0.000, 0.000, 0.712], [0.500, 0.500, 0.000], [0.500, 0.500, 0.500]], "formation_energy_uncorrected_ev_per_atom": -1.499, "volume_a3_per_cell": 347.5, "density_g_cm3": 5.508}

=====

[6]
{"formula": "BaBiS2O8", "functional": "PBE", "state": "relaxed", "lattice_angstrom": [[5.168, 0.000, 0.000], [-2.584, 4.476, 0.000], [0.000, 0.000, 8.728]], "species": ["Ba", "Bi", "S", "S", "O", "O", "O", "O", "O", "O", "O", "O"], "fractional_positions": [[0.000, 0.000, 0.000], [0.000, 0.000, 0.500], [0.333, 0.667, 0.776], [0.667, 0.333, 0.224], [0.109, 0.361, 0.722], [0.252, 0.891, 0.722], [0.333, 0.667, 0.947], [0.361, 0.252, 0.278], [0.639, 0.748, 0.722], [0.667, 0.333, 0.053], [0.748, 0.109, 0.278], [0.891, 0.639, 0.278]], "formation_energy_uncorrected_ev_per_atom": -1.629, "volume_a3_per_cell": 201.9, "density_g_cm3": 4.428}

=====

[7]
{"formula": "Ba3BiSb2O9", "functional": "PBE", "state": "relaxed", "lattice_angstrom": [[6.102, 0.000, 0.000], [-3.051, 5.285, 0.000], [0.000, 0.000, 7.508]], "species": ["Ba", "Ba", "Ba", "Bi", "Sb", "Sb", "O", "O", "O", "O", "O", "O", "O", "O", "O"], "fractional_positions": [[0.000, 0.000, 0.000], [0.333, 0.667, 0.675], [0.667, 0.333, 0.325], [0.000, 0.000, 0.500], [0.333, 0.667, 0.163], [0.667, 0.333, 0.837], [0.000, 0.500, 0.000], [0.175, 0.351, 0.316], [0.175, 0.825, 0.316], [0.351, 0.175, 0.684], [0.500, 0.000, 0.000], [0.500, 0.500, 0.000], [0.649, 0.825, 0.316], [0.825, 0.175, 0.684], [0.825, 0.649, 0.684]], "formation_energy_uncorrected_ev_per_atom": -1.994, "volume_a3_per_cell": 242.1, "density_g_cm3": 6.916}

=====

[8]
{"formula": "Ba2BiSbO6", "functional": "PBE", "state": "relaxed", "lattice_angstrom": [[6.204, 0.000, 0.000], [-1.062, 6.464, 0.000], [-2.736, -2.472, 6.346]], "species": ["Ba", "Ba", "Bi", "Sb", "O", "O", "O", "O", "O", "O"], "fractional_positions": [[0.157, 0.369, 0.231], [0.843, 0.631, 0.769], [0.000, 0.000, 0.500], [0.500, 0.000, 0.500], [0.014, 0.274, 0.809], [0.210, 0.832, 0.179], [0.453, 0.724, 0.557], [0.547, 0.276, 0.443], [0.790, 0.168, 0.821], [0.986, 0.726, 0.191]], "formation_energy_uncorrected_ev_per_atom": -1.211, "volume_a3_per_cell": 254.5, "density_g_cm3": 4.576}

=====

[9]
{"formula": "Ba2BiSbO6", "functional": "PBE", "state": "relaxed", "lattice_angstrom": [[5.477, 0.000, 0.000], [1.698, 5.437, 0.000], [2.038, 1.532, 7.251]], "species": ["Ba", "Ba", "Bi", "Sb", "O", "O", "O", "O", "O", "O"], "fractional_positions": [[0.117, 0.109, 0.181], [0.883, 0.891, 0.819], [0.000, 0.500, 0.500], [0.500, 0.000, 0.500], [0.057, 0.286, 0.818], [0.230, 0.783, 0.506], [0.292, 0.061, 0.810], [0.708, 0.939, 0.190], [0.770, 0.217, 0.494], [0.943, 0.714, 0.182]], "formation_energy_uncorrected_ev_per_atom": -1.252, "volume_a3_per_cell": 215.9, "density_g_cm3": 5.394}

=====

[10]
{"formula": "Ba7BiSb2O2", "functional": "PBE", "state": "relaxed", "lattice_angstrom": [[-2.708, 2.708, 14.698], [2.708, -2.708, 14.698], [2.708, 2.708, -14.698]], "species": ["Ba", "Ba", "Ba", "Ba", "Ba", "Ba", "Ba", "Bi", "Sb", "Sb", "O", "O"], "fractional_positions": [[0.000, 0.000, 0.000], [0.098, 0.598, 0.500], [0.203, 0.203, 0.000], [0.402, 0.902, 0.500], [0.598, 0.098, 0.500], [0.797, 0.797, 0.000], [0.902, 0.402, 0.500], [0.500, 0.500, 0.000], [0.321, 0.321, 0.000], [0.679, 0.679, 0.000], [0.094, 0.094, 0.000], [0.906, 0.906, 0.000]], "formation_energy_uncorrected_ev_per_atom": -1.477, "volume_a3_per_cell": 431.1, "density_g_cm3": 5.570}

=====

[11]
{"formula": "BaBiSb2O", "functional": "PBE", "state": "relaxed", "lattice_angstrom": [[6.156, 0.000, 0.000], [0.000, 6.156, 0.000], [0.000, 0.000, 4.317]], "species": ["Ba", "Bi", "Sb", "Sb", "O"], "fractional_positions": [[0.000, 0.000, 0.000], [0.500, 0.500, 0.500], [0.000, 0.500, 0.500], [0.500, 0.000, 0.500], [0.500, 0.500, 0.000]], "formation_energy_uncorrected_ev_per_atom": -0.306, "volume_a3_per_cell": 163.6, "e_above_lowest_polymorph_ev_per_atom": 0.201, "density_g_cm3": 6.150}

=====

[12]
{"formula": "Ba2BiSbO6", "functional": "PBE", "state": "relaxed", "lattice_angstrom": [[5.256, 0.000, 0.000], [1.433, 5.685, 0.000], [2.286, 1.637, 6.947]], "species": ["Ba", "Ba", "Bi", "Sb", "O", "O", "O", "O", "O", "O"], "fractional_positions": [[0.145, 0.173, 0.093], [0.855, 0.827, 0.907], [0.000, 0.500, 0.500], [0.500, 0.000, 0.500], [0.076, 0.579, 0.187], [0.121, 0.896, 0.490], [0.383, 0.941, 0.785], [0.617, 0.059, 0.215], [0.879, 0.104, 0.510], [0.924, 0.421, 0.813]], "formation_energy_uncorrected_ev_per_atom": -1.369, "volume_a3_per_cell": 207.6, "density_g_cm3": 5.610}

=====

[13]
{"formula": "BaBiSb2O", "functional": "PBE", "state": "relaxed", "lattice_angstrom": [[5.088, 0.000, 0.000], [0.000, 5.088, 0.000], [0.000, 0.000, 5.088]], "species": ["Ba", "Bi", "Sb", "Sb", "O"], "fractional_positions": [[0.000, 0.000, 0.000], [0.500, 0.500, 0.000], [0.000, 0.500, 0.500], [0.500, 0.000, 0.500], [0.500, 0.500, 0.500]], "formation_energy_uncorrected_ev_per_atom": -0.507, "volume_a3_per_cell": 131.7, "e_above_lowest_polymorph_ev_per_atom": 0.000, "density_g_cm3": 7.636}

=====

[14]
{"formula": "Ba5BiSbO2", "functional": "PBE", "state": "relaxed", "lattice_angstrom": [[5.436, 0.000, 0.000], [0.000, 5.436, 0.000], [0.000, 0.000, 10.725]], "species": ["Ba", "Ba", "Ba", "Ba", "Ba", "Bi", "Sb", "O", "O"], "fractional_positions": [[0.000, 0.000, 0.000], [0.000, 0.500, 0.280], [0.000, 0.500, 0.720], [0.500, 0.000, 0.280], [0.500, 0.000, 0.720], [0.500, 0.500, 0.500], [0.500, 0.500, 0.000], [0.000, 0.000, 0.242], [0.000, 0.000, 0.758]], "formation_energy_uncorrected_ev_per_atom": -1.639, "volume_a3_per_cell": 316.9, "density_g_cm3": 5.498}

=====

[15]
{"formula": "Ba2ScBi3O12", "functional": "PBE", "state": "relaxed", "lattice_angstrom": [[3.899, 2.251, 6.146], [-3.899, 2.251, 6.146], [0.000, -4.502, 6.146]], "species": ["Ba", "Ba", "Sc", "Bi", "Bi", "Bi", "O", "O", "O", "O", "O", "O", "O", "O", "O", "O", "O", "O"], "fractional_positions": [[0.171, 0.171, 0.171], [0.829, 0.829, 0.829], [0.500, 0.500, 0.500], [0.000, 0.500, 0.500], [0.500, 0.000, 0.500], [0.500, 0.500, 0.000], [0.167, 0.167, 0.558], [0.167, 0.558, 0.167], [0.174, 0.582, 0.582], [0.418, 0.418, 0.826], [0.418, 0.826, 0.418], [0.442, 0.833, 0.833], [0.558, 0.167, 0.167], [0.582, 0.174, 0.582], [0.582, 0.582, 0.174], [0.826, 0.418, 0.418], [0.833, 0.442, 0.833], [0.833, 0.833, 0.442]], "formation_energy_uncorrected_ev_per_atom": -1.461, "volume_a3_per_cell": 323.7, "density_g_cm3": 5.841}

=====

[16]
{"formula": "Ba3ScBi2O6", "functional": "PBE", "state": "relaxed", "lattice_angstrom": [[6.023, 0.000, 0.000], [-3.012, 5.216, 0.000], [0.000, 0.000, 7.160]], "species": ["Ba", "Ba", "Ba", "Sc", "Bi", "Bi", "O", "O", "O", "O", "O", "O"], "fractional_positions": [[0.000, 0.000, 0.000], [0.333, 0.667, 0.629], [0.667, 0.333, 0.371], [0.000, 0.000, 0.500], [0.333, 0.667, 0.129], [0.667, 0.333, 0.871], [0.167, 0.334, 0.327], [0.167, 0.833, 0.327], [0.334, 0.167, 0.673], [0.666, 0.833, 0.327], [0.833, 0.167, 0.673], [0.833, 0.666, 0.673]], "formation_energy_uncorrected_ev_per_atom": -2.133, "volume_a3_per_cell": 225.0, "density_g_cm3": 7.166}

=====

[17]
{"formula": "Ba3ScBi2O8", "functional": "PBE", "state": "relaxed", "lattice_angstrom": [[6.126, 0.000, 0.000], [-3.063, 5.306, 0.000], [0.000, 0.000, 8.095]], "species": ["Ba", "Ba", "Ba", "Sc", "Bi", "Bi", "O", "O", "O", "O", "O", "O", "O", "O"], "fractional_positions": [[0.000, 0.000, 0.000], [0.333, 0.667, 0.627], [0.667, 0.333, 0.373], [0.000, 0.000, 0.500], [0.333, 0.667, 0.200], [0.667, 0.333, 0.800], [0.159, 0.318, 0.340], [0.159, 0.841, 0.340], [0.318, 0.159, 0.660], [0.333, 0.667, 0.930], [0.667, 0.333, 0.070], [0.682, 0.841, 0.340], [0.841, 0.159, 0.660], [0.841, 0.682, 0.660]], "formation_energy_uncorrected_ev_per_atom": -2.068, "volume_a3_per_cell": 263.1, "density_g_cm3": 6.329}

=====

[18]
{"formula": "Ba4ScBi3O12", "functional": "PBE", "state": "relaxed", "lattice_angstrom": [[-4.344, 4.344, 4.344], [4.344, -4.344, 4.344], [4.344, 4.344, -4.344]], "species": ["Ba", "Ba", "Ba", "Ba", "Sc", "Bi", "Bi", "Bi", "O", "O", "O", "O", "O", "O", "O", "O", "O", "O", "O", "O"], "fractional_positions": [[0.000, 0.000, 0.500], [0.000, 0.500, 0.000], [0.500, 0.000, 0.000], [0.500, 0.500, 0.500], [0.000, 0.000, 0.000], [0.000, 0.500, 0.500], [0.500, 0.000, 0.500], [0.500, 0.500, 0.000], [0.000, 0.247, 0.247], [0.000, 0.753, 0.753], [0.247, 0.000, 0.247], [0.247, 0.247, 0.000], [0.250, 0.500, 0.750], [0.250, 0.750, 0.500], [0.500, 0.250, 0.750], [0.500, 0.750, 0.250], [0.750, 0.250, 0.500], [0.750, 0.500, 0.250], [0.753, 0.000, 0.753], [0.753, 0.753, 0.000]], "formation_energy_uncorrected_ev_per_atom": -2.068, "volume_a3_per_cell": 327.8, "density_g_cm3": 7.158}

=====

[19]
{"formula": "Ba3ScBi2O9", "functional": "PBE", "state": "relaxed", "lattice_angstrom": [[6.090, 0.000, 0.000], [-3.045, 5.274, 0.000], [0.000, 0.000, 7.477]], "species": ["Ba", "Ba", "Ba", "Sc", "Bi", "Bi", "O", "O", "O", "O", "O", "O", "O", "O", "O"], "fractional_positions": [[0.000, 0.000, 0.000], [0.333, 0.667, 0.664], [0.667, 0.333, 0.336], [0.000, 0.000, 0.500], [0.333, 0.667, 0.177], [0.667, 0.333, 0.823], [0.000, 0.500, 0.000], [0.164, 0.329, 0.337], [0.164, 0.836, 0.337], [0.329, 0.164, 0.663], [0.500, 0.000, 0.000], [0.500, 0.500, 0.000], [0.671, 0.836, 0.337], [0.836, 0.164, 0.663], [0.836, 0.671, 0.663]], "formation_energy_uncorrected_ev_per_atom": -2.185, "volume_a3_per_cell": 240.2, "density_g_cm3": 7.045}

=====

[20]
{"formula": "BaSc2Bi2O7", "functional": "PBE", "state": "relaxed", "lattice_angstrom": [[-2.021, 8.472, 3.078], [2.021, -8.472, 3.078], [2.021, 8.472, -3.078]], "species": ["Ba", "Sc", "Sc", "Bi", "Bi", "O", "O", "O", "O", "O", "O", "O"], "fractional_positions": [[0.000, 0.000, 0.000], [0.433, 0.037, 0.396], [0.641, 0.037, 0.604], [0.335, 0.609, 0.726], [0.883, 0.609, 0.274], [0.124, 0.717, 0.407], [0.235, 0.971, 0.264], [0.310, 0.717, 0.593], [0.504, 0.639, 0.865], [0.689, 0.189, 0.500], [0.707, 0.971, 0.736], [0.775, 0.639, 0.135]], "formation_energy_uncorrected_ev_per_atom": -2.313, "volume_a3_per_cell": 210.8, "density_g_cm3": 5.965}

=====

Number 1: M_tot 0.34 μB per cell, E_tot -5.7454 eV/atom. Number 2: M_tot 0.00 μB per cell, E_tot -6.6037 eV/atom. Number 3: M_tot 5.96 μB per cell, E_tot -6.6346 eV/atom. Number 4: M_tot 0.00 μB per cell, E_tot -5.6806 eV/atom. Number 5: M_tot 0.00 μB per cell, E_tot -4.4390 eV/atom. Number 6: M_tot 1.03 μB per cell, E_tot -6.1061 eV/atom. Number 7: M_tot 0.00 μB per cell, E_tot -6.1618 eV/atom. Number 8: M_tot 0.00 μB per cell, E_tot -5.3713 eV/atom. Number 9: M_tot 0.00 μB per cell, E_tot -5.4119 eV/atom. Number 10: M_tot 0.00 μB per cell, E_tot -4.4350 eV/atom. Number 11: M_tot 0.00 μB per cell, E_tot -4.1076 eV/atom. Number 12: M_tot 0.00 μB per cell, E_tot -5.5286 eV/atom. Number 13: M_tot 0.00 μB per cell, E_tot -4.3083 eV/atom. Number 14: M_tot 0.00 μB per cell, E_tot -4.6984 eV/atom. Number 15: M_tot 2.12 μB per cell, E_tot -5.9783 eV/atom. Number 16: M_tot 0.00 μB per cell, E_tot -6.2677 eV/atom. Number 17: M_tot 1.03 μB per cell, E_tot -6.3202 eV/atom. Number 18: M_tot 0.00 μB per cell, E_tot -6.3261 eV/atom. Number 19: M_tot 0.00 μB per cell, E_tot -6.4840 eV/atom. Number 20: M_tot 0.00 μB per cell, E_tot -7.0677 eV/atom.